Here is a PBEsol-optimized structure of Dy3Al12Os4 from Alexandria. Energies are from SCAN.

The structure in extended XYZ format:
```
38
Lattice="8.740 0.000 0.000 -4.370 7.569 0.000 0.000 0.000 9.511" Properties=species:S:1:pos:R:3 pbc="T T T"
Al 2.986 3.322 2.378
Al 4.370 0.925 2.378
Al 2.140 1.236 0.717
Al 5.755 3.322 2.378
Al 4.370 5.098 4.039
Al 4.370 5.098 0.717
Al 0.000 5.046 4.578
Al 4.370 2.523 4.932
Al 6.600 1.236 4.039
Al 6.600 1.236 0.717
Al 4.370 2.523 9.333
Al 2.230 6.334 8.794
Al -2.230 6.334 5.472
Al 1.384 4.247 7.133
Al 0.000 5.046 0.177
Al 0.000 6.645 7.133
Al 0.000 0.000 7.133
Al 0.000 0.000 2.378
Al -2.230 6.334 8.794
Al 0.000 2.471 5.472
Al -1.384 4.247 7.133
Al 0.000 2.471 8.794
Al 2.230 6.334 5.472
Al 2.140 1.236 4.039
Dy 6.207 1.463 7.133
Dy 1.837 6.107 2.378
Dy 2.533 1.463 7.133
Dy 4.370 4.644 7.133
Dy -1.837 6.107 2.378
Dy 0.000 2.925 2.378
Os -2.185 3.785 0.000
Os 4.370 0.000 4.755
Os 4.370 0.000 0.000
Os 2.185 3.785 4.755
Os 2.185 3.785 0.000
Os -2.185 3.785 4.755
Os 0.000 0.000 0.000
Os 0.000 0.000 4.755
```

## Properties
- D(E_F) (states/eV/atom) = 0.488
- magnetization (μB/f.u.) = 0.00
- volume (Å³/cell) = 629
- ΔE_f (eV per atom) = -0.7141

---

Here is a PBEsol-optimized structure of LaTlIn2 from Alexandria. Energies are from SCAN.

The structure in extended XYZ format:
```
4
Lattice="3.447 0.000 0.000 1.723 2.985 0.000 1.723 0.995 10.525" Properties=species:S:1:pos:R:3 pbc="T T T"
In 5.170 2.985 8.048
In 1.723 0.995 10.497
La 3.447 1.990 5.285
Tl 1.723 0.995 2.483
```

## Properties
- D(E_F) (states/eV/atom) = 0.668
- magnetization (μB/f.u.) = 0.00
- volume (Å³/cell) = 108
- ΔE_f (eV per atom) = -0.1614

---

Here is a PBEsol-optimized structure of KTaAg from Alexandria. Energies are from SCAN.

The structure in extended XYZ format:
```
3
Lattice="4.975 0.000 0.000 2.488 4.309 0.000 2.488 1.436 4.062" Properties=species:S:1:pos:R:3 pbc="T T T"
Ag 4.975 2.873 2.031
K 2.488 1.436 1.016
Ta 0.000 0.000 0.000
```

## Properties
- D(E_F) (states/eV/atom) = 2.536
- magnetization (μB/f.u.) = 3.72
- excess energy over the best structure of this formula in the dataset (eV per formula unit) = 4.86
- volume (Å³/cell) = 87
- ΔE_f (eV per atom) = 2.4697

---

Here is a PBEsol-optimized structure of CdAg2Hg from Alexandria. Energies are from SCAN.

The structure in extended XYZ format:
```
4
Lattice="3.483 0.000 0.000 0.000 4.587 0.000 0.000 0.000 4.587" Properties=species:S:1:pos:R:3 pbc="T T T"
Hg 1.742 0.000 0.000
Cd 1.742 2.294 2.294
Ag 0.000 0.000 2.294
Ag 0.000 2.294 0.000
```

## Properties
- D(E_F) (states/eV/atom) = 0.307
- magnetization (μB/f.u.) = 0.00
- excess energy over the best structure of this formula in the dataset (eV per formula unit) = 0.09
- volume (Å³/cell) = 73
- ΔE_f (eV per atom) = 0.0123